[1]
## CrPbSe2 (PBE)

Data for a relaxed CrPbSe2 crystal.

- ΔE_f (raw): -0.06 kcal/mol of atoms
- Space-group type: P4/mmm, No. 123
- Calculated volume: 82 Å³ per cell

extended XYZ file:
```
4
Lattice="-1.550 2.201 1.508 -2.558 -1.722 -0.116 2.119 -3.657 7.517" Properties=species:S:1:pos:R:3 pbc="T T T"
Cr -1.524 -0.675 2.575
Pb -0.464 -2.503 6.334
Se 0.172 -0.298 0.612
Se 0.887 -1.531 3.147
```


[2]
## CrPbSe2 (PBE)

Data for a relaxed CrPbSe2 crystal.

- ΔE_f (raw): -5.95 kcal/mol of atoms
- Space-group type: P2/m, No. 10
- Calculated volume: 102 Å³ per cell

extended XYZ file:
```
4
Lattice="-0.546 3.553 -0.403 -2.756 -0.746 -2.844 -5.906 -0.463 3.918" Properties=species:S:1:pos:R:3 pbc="T T T"
Cr -2.438 1.474 0.067
Pb -6.769 0.870 0.604
Se -0.561 -0.139 -0.465
Se -3.769 -0.466 1.002
```


[3]
## CrPbSe2 (PBE)

Data for a relaxed CrPbSe2 crystal.

- ΔE_f (raw): 0.33 kcal/mol of atoms
- Space-group type: P4/mmm, No. 123
- Calculated volume: 92 Å³ per cell

extended XYZ file:
```
4
Lattice="5.063 0.000 0.000 0.000 5.063 0.000 0.000 0.000 3.580" Properties=species:S:1:pos:R:3 pbc="T T T"
Cr 2.531 0.000 1.790
Pb 0.000 2.531 1.790
Se 0.000 0.000 0.000
Se 2.531 2.531 0.000
```